# 1
Crystalline Mn2BeW at its relaxed geometry. Source: Alexandria, functional PBE.

Cell lengths 2.6946, 2.6946, 6.3022 Å; angles 90.00, 90.00, 90.00 degrees
With the nearest neighbours (Å) after each atom.
Positions (direct):
Be  0.5000  0.5000  0.7879  5 Mn 2.31-2.58, 4 W 2.54
Mn  0.0000  0.0000  0.9939  4 Mn 2.30, 4 Be 2.31
Mn  0.5000  0.5000  0.1975  4 Mn 2.30
W  0.0000  0.0000  0.5206  4 Be 2.54, 4 W 2.69, 4 Mn 2.79

## Properties
Crystal system = tetragonal
Total energy = -34.89 eV per cell


# 2
Crystalline MnBe2W2 at its relaxed geometry. Source: Alexandria, functional PBE.

Cell lengths 3.6236, 3.6236, 5.6380 Å; angles 71.26, 71.26, 90.00 degrees
With the nearest neighbours (Å) after each atom.
Positions (direct):
Be  0.4075  0.4075  0.1850  1 Be 1.86
Be  0.5925  0.5925  0.8150  1 Be 1.86
Mn  0.0000  0.0000  0.0000  8 Be 2.73
W  0.7500  0.2500  0.5000  4 Be 2.41, 4 W 2.56
W  0.2500  0.7500  0.5000  4 Be 2.41, 4 W 2.56

## Properties
Crystal system = tetragonal
Energy relative to the lowest polymorph listed for this composition = 783.3 meV per atom
Total energy = -39.17 eV per cell


# 3
Crystalline MnBeW2 at its relaxed geometry. Source: Alexandria, functional PBE.

Cell lengths 3.1151, 3.1151, 5.5151 Å; angles 90.00, 90.00, 90.00 degrees
With the nearest neighbours (Å) after each atom.
Positions (direct):
Be  0.0000  0.0000  0.5088  4 Mn 2.50, 5 W 2.55-2.66
Mn  0.5000  0.5000  0.7235  5 W 2.47-2.65, 4 Be 2.50
W  0.0000  0.0000  0.9917  4 Mn 2.65, 2 Be 2.66-2.85, 4 W 2.70
W  0.5000  0.5000  0.2760  1 Mn 2.47, 4 Be 2.55, 4 W 2.70

## Properties
Crystal system = tetragonal
Total energy = -38.19 eV per cell


# 4
Crystalline MnBeW2 at its relaxed geometry. Source: Alexandria, functional PBE.

Cell lengths 4.4646, 4.4646, 2.7512 Å; angles 90.00, 90.00, 105.24 degrees
With the nearest neighbours (Å) after each atom.
Positions (direct):
Be  0.5000  0.0000  0.5000  8 W 2.62, 2 Mn 2.71, 2 Be 2.75
Mn  0.0000  0.5000  0.5000  8 W 2.62, 2 Be 2.71, 2 Mn 2.75
W  0.0000  0.0000  0.0000  4 Be 2.62, 4 Mn 2.62, 4 W 2.71-2.75
W  0.5000  0.5000  0.0000  4 Mn 2.62, 4 Be 2.62, 4 W 2.71-2.75

## Properties
Crystal system = orthorhombic
Total energy = -37.90 eV per cell


# 5
Crystalline MnBeW2 at its relaxed geometry. Source: Alexandria, functional PBE.

Cell lengths 3.0866, 3.0866, 5.4784 Å; angles 90.00, 90.00, 90.00 degrees
With the nearest neighbours (Å) after each atom.
Positions (direct):
Be  0.5000  0.5000  0.2500  8 W 2.54, 2 Mn 2.74
Mn  0.5000  0.5000  0.7500  8 W 2.62, 2 Be 2.74
W  0.0000  0.0000  0.0139  4 Be 2.54, 1 W 2.59, 4 Mn 2.62
W  0.0000  0.0000  0.4861  4 Be 2.54, 1 W 2.59, 4 Mn 2.62

## Properties
Crystal system = tetragonal
Total energy = -37.96 eV per cell


# 6
Crystalline MnBe3W at its relaxed geometry. Source: Alexandria, functional PBE.

Cell lengths 3.8066, 3.8066, 3.8066 Å; angles 90.00, 90.00, 90.00 degrees
With the nearest neighbours (Å) after each atom.
Positions (direct):
Be  0.0000  0.5000  0.0000  2 Mn 1.90
Be  0.0000  0.0000  0.5000  2 Mn 1.90
Be  0.5000  0.0000  0.0000  2 Mn 1.90
Mn  0.0000  0.0000  0.0000  6 Be 1.90
W  0.5000  0.5000  0.5000  12 Be 2.69

## Properties
Crystal system = cubic
Energy relative to the lowest polymorph listed for this composition = 0.0 meV per atom
Total energy = -28.78 eV per cell


# 7
Crystalline MnBeW2 at its relaxed geometry. Source: Alexandria, functional PBE.

Cell lengths 5.2331, 4.7825, 2.6576 Å; angles 81.43, 76.38, 118.80 degrees
With the nearest neighbours (Å) after each atom.
Positions (direct):
Be  0.0000  0.5000  0.5000  4 W 2.56, 2 Mn 2.64, 2 Be 2.66
Mn  0.5000  0.5000  0.0000  4 W 2.56, 2 Be 2.64, 2 Mn 2.66
W  0.0000  0.0000  0.0000  2 Be 2.56, 2 Mn 2.56, 4 W 2.64-2.66
W  0.5000  0.0000  0.5000  2 Mn 2.56, 2 Be 2.56, 4 W 2.64-2.66

## Properties
Crystal system = monoclinic
Total energy = -37.98 eV per cell


# 8
Crystalline MnBeW2 at its relaxed geometry. Source: Alexandria, functional PBE.

Cell lengths 4.9185, 4.9185, 4.1790 Å; angles 64.71, 64.71, 35.77 degrees
With the nearest neighbours (Å) after each atom.
Positions (direct):
Be  0.5161  0.5161  0.4842  2 Mn 2.47, 6 W 2.59-2.72
Mn  0.2499  0.2499  0.2492  2 Be 2.47, 6 W 2.50-2.58
W  0.9877  0.9877  0.0127  2 Mn 2.50, 4 Be 2.59, 2 W 2.64
W  0.7462  0.7462  0.7539  4 Mn 2.58, 2 W 2.64, 4 Be 2.72-2.84

## Properties
Crystal system = monoclinic
Total energy = -38.11 eV per cell


# 9
Crystalline Mn2BeW at its relaxed geometry. Source: Alexandria, functional PBE.

Cell lengths 4.0070, 2.5503, 4.6757 Å; angles 81.75, 90.00, 90.00 degrees
With the nearest neighbours (Å) after each atom.
Positions (direct):
Be  0.5000  0.7500  0.7500  4 Mn 2.41, 2 W 2.50, 2 Be 2.55
Mn  0.0000  0.0146  0.9758  1 Mn 2.27, 2 Be 2.41, 2 W 2.50
Mn  0.0000  0.4854  0.5242  1 Mn 2.27, 2 Be 2.41, 2 W 2.50
W  0.5000  0.2500  0.2500  2 Be 2.50, 4 Mn 2.50, 2 W 2.55

## Properties
Crystal system = monoclinic
Total energy = -34.52 eV per cell


# 10
Crystalline Mn2BeW at its relaxed geometry. Source: Alexandria, functional PBE.

Cell lengths 4.6203, 4.7902, 2.5687 Å; angles 77.91, 83.00, 116.72 degrees
With the nearest neighbours (Å) after each atom.
Positions (direct):
Be  0.5000  0.5000  0.0000  4 Mn 2.47, 2 W 2.50, 2 Be 2.57
Mn  0.0000  0.0000  0.0000  2 Be 2.47, 2 W 2.47, 4 Mn 2.50-2.57
Mn  0.5000  0.0000  0.5000  2 W 2.47, 2 Be 2.47, 4 Mn 2.50-2.57
W  0.0000  0.5000  0.5000  4 Mn 2.47, 2 Be 2.50, 2 W 2.57

## Properties
Crystal system = monoclinic
Total energy = -34.36 eV per cell


# 11
Crystalline Mn2BeW at its relaxed geometry. Source: Alexandria, functional PBE.

Cell lengths 6.4155, 6.4155, 5.1276 Å; angles 51.27, 51.27, 90.00 degrees
With the nearest neighbours (Å) after each atom.
Positions (direct):
Be  0.5000  0.5000  0.0000  4 Mn 2.15, 2 W 2.39
Be  0.2500  0.7500  0.5000  4 Mn 2.15, 2 W 2.39
Mn  0.5781  0.1250  0.2500  2 Be 2.15
Mn  0.1719  0.6250  0.2500  2 Be 2.15
Mn  0.3750  0.4219  0.7500  2 Be 2.15
Mn  0.8750  0.8281  0.7500  2 Be 2.15
W  0.0000  0.0000  0.0000  2 Be 2.39, 4 Mn 2.56
W  0.7500  0.2500  0.5000  2 Be 2.39, 4 Mn 2.56

## Properties
Crystal system = tetragonal
Total energy = -65.13 eV per cell


# 12
Crystalline MnBeW2 at its relaxed geometry. Source: Alexandria, functional PBE.

Cell lengths 4.2736, 4.2736, 4.2736 Å; angles 60.00, 60.00, 60.00 degrees
With the nearest neighbours (Å) after each atom.
Positions (direct):
Be  0.5000  0.5000  0.5000  4 W 2.62, 4 Mn 2.62
Mn  0.7500  0.7500  0.7500  4 Be 2.62, 4 W 2.62
W  0.0000  0.0000  0.0000  4 Mn 2.62, 4 W 2.62
W  0.2500  0.2500  0.2500  4 W 2.62, 4 Be 2.62

## Properties
Crystal system = cubic
Total energy = -37.70 eV per cell